This record from Alexandria describes a relaxed NaV2PdO8 crystal. The functional is GGA+U.

```
12
Lattice="5.632 0.000 0.000 -2.816 4.878 0.000 0.000 0.000 6.473" Properties=species:S:1:pos:R:3 pbc="T T T"
Na 0.000 0.000 0.000
V 0.000 3.252 1.551
V 2.816 1.626 4.922
Pd 0.000 0.000 3.236
O 0.000 1.549 2.017
O -1.474 4.103 2.017
O 1.342 0.775 4.456
O 0.000 3.252 6.360
O 2.816 1.626 0.113
O 1.474 4.103 2.017
O 4.291 0.775 4.456
O 2.816 3.328 4.456
```

Summary:
spin magnetization = 1.1 μB/f.u.
V = 14.818 Å³ per atom
final energy = -6.32 eV/atom